No. 1
Here is a geometry-optimized CdRhAu2 structure from Alexandria via LeMat-Bulk. Energies are from PBEsol.

Output
SG	I-4m2, No. 119

abc: 4.1247 4.1247 4.8361
angles: 115.24 115.24 90.00
Closest atoms and distances in Å follow each position.
Atoms (fractional coordinates):
Rh 0.2500 0.7500 0.5000  4 Cd 2.82, 8 Au 2.82-2.92
Au 0.0000 0.0000 0.0000  4 Rh 2.82, 4 Au 2.82, 4 Cd 2.92
Au 0.7500 0.2500 0.5000  4 Au 2.82, 4 Cd 2.82, 4 Rh 2.92
Cd 0.5000 0.5000 0.0000  4 Rh 2.82, 8 Au 2.82-2.92


No. 2
Here is a geometry-optimized CdRhAu2 structure from Alexandria via LeMat-Bulk. Energies are from PBEsol.

Output
SG	Pmm2, No. 25

abc: 2.9573 3.7940 5.8610
angles: 90.00 90.00 90.00
Closest atoms and distances in Å follow each position.
Atoms (fractional coordinates):
Rh 0.5000 0.5000 0.7514  6 Au 2.79-2.96, 4 Cd 2.79, 2 Rh 2.96
Au 0.0000 0.0000 0.9919  4 Rh 2.79, 2 Cd 2.82-3.04, 6 Au 2.83-2.96
Au 0.5000 0.5000 0.2466  6 Au 2.83-2.96, 4 Cd 2.86, 2 Rh 2.90-2.96
Cd 0.0000 0.0000 0.5100  4 Rh 2.79, 6 Au 2.82-3.04, 2 Cd 2.96


No. 3
Here is a geometry-optimized CdRhAu2 structure from Alexandria via LeMat-Bulk. Energies are from PBEsol.

Output
SG	P4/mmm, No. 123

abc: 3.9872 3.9872 4.1211
angles: 90.00 90.00 90.00
Closest atoms and distances in Å follow each position.
Atoms (fractional coordinates):
Rh 0.0000 0.0000 0.5000  4 Cd 2.82, 8 Au 2.87
Au 0.0000 0.5000 0.0000  4 Au 2.82, 4 Rh 2.87, 4 Cd 2.87
Au 0.5000 0.0000 0.0000  4 Au 2.82, 4 Cd 2.87, 4 Rh 2.87
Cd 0.5000 0.5000 0.5000  4 Rh 2.82, 8 Au 2.87


No. 4
Here is a geometry-optimized CdRhAu2 structure from Alexandria via LeMat-Bulk. Energies are from PBEsol.

Output
SG	F-43m, No. 216

abc: 4.5324 4.5324 4.5324
angles: 60.00 60.00 60.00
Closest atoms and distances in Å follow each position.
Atoms (fractional coordinates):
Rh 0.2500 0.2500 0.2500  4 Cd 2.78, 4 Au 2.78
Au 0.0000 0.0000 0.0000  4 Rh 2.78, 4 Au 2.78
Au 0.7500 0.7500 0.7500  4 Cd 2.78, 4 Au 2.78
Cd 0.5000 0.5000 0.5000  4 Au 2.78, 4 Rh 2.78


| no. | DFT formation energy (meV/atom) | V (Å³/cell) |
| --- | --- | --- |
| 1 | -37 | 66 |
| 2 | -12 | 66 |
| 3 | -68 | 66 |
| 4 | -3 | 66 |